(1)
Compound: LiCd4Hg
Source: the Alexandria database
Functional: PBE
Structure: optimized geometry

Calculated values
The excess energy over the best structure of this formula in the dataset is 3.7 kJ/mol of formula units. Its symmetry is No. 12. The value obtained for the uncorrected energy is -1.07 eV per atom.

Cell: 5.009 5.009 5.908 Å, 91.18 91.18 116.37°
Sites, in units of the cell vectors:
Li: 0.000 0.000 0.000
Cd: 0.260 0.605 0.757
Cd: 0.395 0.740 0.243
Cd: 0.605 0.260 0.757
Cd: 0.740 0.395 0.243
Hg: 0.000 0.000 0.500



(2)
Compound: LiCdHg3
Source: the Alexandria database
Functional: PBE
Structure: optimized geometry

Calculated values
The excess energy over the best structure of this formula in the dataset is 151.9 kJ/mol of formula units. Its symmetry is No. 221. The value obtained for the uncorrected energy is -0.58 eV per atom.

Cell: 5.591 5.591 5.591 Å, 90.00 90.00 90.00°
Sites, in units of the cell vectors:
Li: 0.000 0.000 0.000
Cd: 0.500 0.500 0.500
Hg: 0.000 0.500 0.500
Hg: 0.500 0.000 0.500
Hg: 0.500 0.500 0.000



(3)
Compound: LiCdHg4
Source: the Alexandria database
Functional: PBE
Structure: optimized geometry

Calculated values
The excess energy over the best structure of this formula in the dataset is 3.0 kJ/mol of formula units. Its symmetry is No. 12. The value obtained for the uncorrected energy is -0.78 eV per atom.

Cell: 7.318 7.318 6.443 Å, 112.92 112.92 26.70°
Sites, in units of the cell vectors:
Li: 0.000 0.000 0.000
Cd: 0.000 0.000 0.500
Hg: 0.347 0.347 0.628
Hg: 0.350 0.350 0.102
Hg: 0.650 0.650 0.898
Hg: 0.653 0.653 0.372



(4)
Compound: Li8Cd2Hg
Source: the Alexandria database
Functional: PBE
Structure: optimized geometry

Calculated values
The excess energy over the best structure of this formula in the dataset is 54.3 kJ/mol of formula units. Its symmetry is No. 12. The value obtained for the uncorrected energy is -1.75 eV per atom.

Cell: 5.615 5.615 8.262 Å, 109.50 109.50 62.63°
Sites, in units of the cell vectors:
Li: 0.190 0.190 0.646
Li: 0.193 0.713 0.710
Li: 0.195 0.195 0.029
Li: 0.287 0.807 0.290
Li: 0.713 0.193 0.710
Li: 0.805 0.805 0.971
Li: 0.807 0.287 0.290
Li: 0.810 0.810 0.354
Cd: 0.334 0.334 0.394
Cd: 0.666 0.666 0.606
Hg: 0.500 0.500 0.000



(5)
Compound: LiCd12Hg7
Source: the Alexandria database
Functional: PBE
Structure: optimized geometry

Calculated values
Its symmetry is No. 2. The value obtained for the uncorrected energy is -0.76 eV per atom.

Cell: 7.984 8.066 8.766 Å, 103.03 110.21 106.47°
Sites, in units of the cell vectors:
Li: 0.000 0.000 0.000
Cd: 0.040 0.639 0.783
Cd: 0.213 0.370 0.647
Cd: 0.259 0.716 0.542
Cd: 0.333 0.075 0.460
Cd: 0.341 0.600 0.187
Cd: 0.445 0.297 0.029
Cd: 0.555 0.703 0.971
Cd: 0.659 0.400 0.813
Cd: 0.667 0.925 0.540
Cd: 0.741 0.284 0.458
Cd: 0.787 0.630 0.353
Cd: 0.960 0.361 0.217
Hg: 0.000 0.283 0.868
Hg: 0.000 0.717 0.132
Hg: 0.104 0.978 0.694
Hg: 0.389 0.968 0.127
Hg: 0.500 0.500 0.500
Hg: 0.611 0.032 0.873
Hg: 0.896 0.022 0.306



(6)
Compound: LiCd2Hg7
Source: the Alexandria database
Functional: PBE
Structure: optimized geometry

Calculated values
The excess energy over the best structure of this formula in the dataset is 0.0 kJ/mol of formula units. Its symmetry is No. 15. The value obtained for the uncorrected energy is -0.64 eV per atom.

Cell: 8.726 8.726 10.606 Å, 115.67 115.67 42.90°
Sites, in units of the cell vectors:
Li: 0.116 0.884 0.750
Li: 0.884 0.116 0.250
Cd: 0.252 0.342 0.691
Cd: 0.342 0.252 0.191
Cd: 0.658 0.748 0.809
Cd: 0.748 0.658 0.309
Hg: 0.082 0.749 0.937
Hg: 0.113 0.259 0.867
Hg: 0.215 0.553 0.488
Hg: 0.251 0.918 0.563
Hg: 0.259 0.113 0.367
Hg: 0.366 0.634 0.250
Hg: 0.447 0.785 0.012
Hg: 0.553 0.215 0.988
Hg: 0.634 0.366 0.750
Hg: 0.741 0.887 0.633
Hg: 0.749 0.082 0.437
Hg: 0.785 0.447 0.512
Hg: 0.887 0.741 0.133
Hg: 0.918 0.251 0.063



(7)
Compound: Li3Cd4Hg
Source: the Alexandria database
Functional: PBE
Structure: optimized geometry

Calculated values
The excess energy over the best structure of this formula in the dataset is 0.0 kJ/mol of formula units. Its symmetry is No. 12. The value obtained for the uncorrected energy is -1.43 eV per atom.

Cell: 7.608 7.608 4.772 Å, 108.20 108.20 36.55°
Sites, in units of the cell vectors:
Li: 0.000 0.000 0.000
Li: 0.252 0.252 0.252
Li: 0.748 0.748 0.748
Cd: 0.134 0.134 0.632
Cd: 0.366 0.366 0.866
Cd: 0.634 0.634 0.134
Cd: 0.866 0.866 0.368
Hg: 0.500 0.500 0.500



(8)
Compound: LiCdHg2
Source: the Alexandria database
Functional: PBE
Structure: optimized geometry

Calculated values
Its symmetry is No. 99. The value obtained for the uncorrected energy is -1.03 eV per atom.

Cell: 3.700 3.700 6.330 Å, 90.00 90.00 90.00°
Sites, in units of the cell vectors:
Li: 0.000 0.000 0.000
Cd: 0.500 0.500 0.257
Hg: 0.000 0.000 0.506
Hg: 0.500 0.500 0.794



(9)
Compound: Li5Cd8Hg
Source: the Alexandria database
Functional: PBE
Structure: optimized geometry

Calculated values
Its symmetry is No. 82. The value obtained for the uncorrected energy is -1.34 eV per atom.

Cell: 7.304 7.304 7.304 Å, 112.50 112.50 103.57°
Sites, in units of the cell vectors:
Li: 0.000 0.000 0.000
Li: 0.299 0.629 0.086
Li: 0.371 0.456 0.670
Li: 0.544 0.214 0.914
Li: 0.786 0.701 0.330
Cd: 0.013 0.414 0.257
Cd: 0.095 0.151 0.737
Cd: 0.157 0.756 0.743
Cd: 0.244 0.987 0.401
Cd: 0.414 0.358 0.263
Cd: 0.586 0.843 0.599
Cd: 0.642 0.905 0.056
Cd: 0.849 0.586 0.944
Hg: 0.750 0.250 0.500



(10)
Compound: LiCd4Hg7
Source: the Alexandria database
Functional: PBE
Structure: optimized geometry

Calculated values
The excess energy over the best structure of this formula in the dataset is 50.9 kJ/mol of formula units. Its symmetry is No. 12. The value obtained for the uncorrected energy is -0.63 eV per atom.

Cell: 6.964 6.964 10.580 Å, 119.96 119.96 45.78°
Sites, in units of the cell vectors:
Li: 0.000 0.000 0.000
Cd: 0.271 0.271 0.672
Cd: 0.427 0.427 0.224
Cd: 0.573 0.573 0.776
Cd: 0.729 0.729 0.328
Hg: 0.078 0.078 0.314
Hg: 0.207 0.207 0.903
Hg: 0.359 0.359 0.448
Hg: 0.500 0.500 0.000
Hg: 0.641 0.641 0.552
Hg: 0.793 0.793 0.097
Hg: 0.922 0.922 0.686



(11)
Compound: Li6CdHg
Source: the Alexandria database
Functional: PBE
Structure: optimized geometry

Calculated values
Its symmetry is No. 187. The value obtained for the uncorrected energy is -1.80 eV per atom.

Cell: 5.880 5.880 4.844 Å, 90.00 90.00 120.00°
Sites, in units of the cell vectors:
Li: 0.005 0.502 0.000
Li: 0.325 0.163 0.500
Li: 0.498 0.502 0.000
Li: 0.498 0.995 0.000
Li: 0.837 0.163 0.500
Li: 0.837 0.675 0.500
Cd: 0.333 0.667 0.500
Hg: 0.000 0.000 0.000



(12)
Compound: Li3Cd2Hg8
Source: the Alexandria database
Functional: PBE
Structure: optimized geometry

Calculated values
The excess energy over the best structure of this formula in the dataset is 0.0 kJ/mol of formula units. Its symmetry is No. 10. The value obtained for the uncorrected energy is -0.91 eV per atom.

Cell: 8.235 5.058 8.428 Å, 90.00 119.23 90.00°
Sites, in units of the cell vectors:
Li: 0.000 0.000 0.000
Li: 0.295 0.500 0.999
Li: 0.705 0.500 0.001
Cd: 0.222 0.000 0.441
Cd: 0.778 0.000 0.559
Hg: 0.110 0.500 0.219
Hg: 0.191 0.000 0.791
Hg: 0.335 0.500 0.669
Hg: 0.400 0.000 0.206
Hg: 0.600 0.000 0.794
Hg: 0.665 0.500 0.331
Hg: 0.809 0.000 0.209
Hg: 0.890 0.500 0.781



(13)
Compound: LiCd6Hg10
Source: the Alexandria database
Functional: PBE
Structure: optimized geometry

Calculated values
Its symmetry is No. 162. The value obtained for the uncorrected energy is -0.62 eV per atom.

Cell: 8.621 8.621 6.615 Å, 90.00 90.00 120.00°
Sites, in units of the cell vectors:
Li: 0.000 0.000 0.000
Cd: 0.000 0.397 0.781
Cd: 0.000 0.603 0.219
Cd: 0.397 0.000 0.781
Cd: 0.397 0.397 0.219
Cd: 0.603 0.000 0.219
Cd: 0.603 0.603 0.781
Hg: 0.000 0.240 0.301
Hg: 0.000 0.760 0.699
Hg: 0.240 0.000 0.301
Hg: 0.240 0.240 0.699
Hg: 0.333 0.667 0.000
Hg: 0.333 0.667 0.500
Hg: 0.667 0.333 0.000
Hg: 0.667 0.333 0.500
Hg: 0.760 0.000 0.699
Hg: 0.760 0.760 0.301



(14)
Compound: LiCd5Hg11
Source: the Alexandria database
Functional: PBE
Structure: optimized geometry

Calculated values
Its symmetry is No. 12. The value obtained for the uncorrected energy is -0.58 eV per atom.

Cell: 8.251 8.251 7.352 Å, 106.65 106.65 100.40°
Sites, in units of the cell vectors:
Li: 0.000 0.000 0.000
Cd: 0.074 0.404 0.682
Cd: 0.404 0.074 0.682
Cd: 0.500 0.500 0.000
Cd: 0.596 0.926 0.318
Cd: 0.926 0.596 0.318
Hg: 0.000 0.000 0.500
Hg: 0.165 0.410 0.125
Hg: 0.177 0.787 0.771
Hg: 0.213 0.823 0.229
Hg: 0.365 0.365 0.526
Hg: 0.410 0.165 0.125
Hg: 0.590 0.835 0.875
Hg: 0.635 0.635 0.474
Hg: 0.787 0.177 0.771
Hg: 0.823 0.213 0.229
Hg: 0.835 0.590 0.875



(15)
Compound: Li5CdHg4
Source: the Alexandria database
Functional: PBE
Structure: optimized geometry

Calculated values
Its symmetry is No. 123. The value obtained for the uncorrected energy is -1.52 eV per atom.

Cell: 3.371 3.371 16.257 Å, 90.00 90.00 90.00°
Sites, in units of the cell vectors:
Li: 0.000 0.000 0.000
Li: 0.000 0.000 0.201
Li: 0.000 0.000 0.397
Li: 0.000 0.000 0.603
Li: 0.000 0.000 0.799
Cd: 0.500 0.500 0.500
Hg: 0.500 0.500 0.101
Hg: 0.500 0.500 0.301
Hg: 0.500 0.500 0.699
Hg: 0.500 0.500 0.899



(16)
Compound: Li2CdHg
Source: the Alexandria database
Functional: PBE
Structure: optimized geometry

Calculated values
The excess energy over the best structure of this formula in the dataset is 0.0 kJ/mol of formula units. Its symmetry is No. 63. The value obtained for the uncorrected energy is -1.58 eV per atom.

Cell: 5.747 5.747 4.739 Å, 90.00 90.00 109.92°
Sites, in units of the cell vectors:
Li: 0.115 0.355 0.250
Li: 0.355 0.115 0.750
Li: 0.645 0.885 0.250
Li: 0.885 0.645 0.750
Cd: 0.381 0.619 0.750
Cd: 0.619 0.381 0.250
Hg: 0.142 0.858 0.250
Hg: 0.858 0.142 0.750



(17)
Compound: LiCdHg
Source: the Alexandria database
Functional: PBE
Structure: optimized geometry

Calculated values
The excess energy over the best structure of this formula in the dataset is 41.3 kJ/mol of formula units. Its symmetry is No. 216. The value obtained for the uncorrected energy is -1.15 eV per atom.

Cell: 4.717 4.717 4.717 Å, 60.00 60.00 60.00°
Sites, in units of the cell vectors:
Li: 0.000 0.000 0.000
Cd: 0.500 0.500 0.500
Hg: 0.750 0.750 0.750



(18)
Compound: LiCd2Hg
Source: the Alexandria database
Functional: PBE
Structure: optimized geometry

Calculated values
Its symmetry is No. 10. The value obtained for the uncorrected energy is -1.15 eV per atom.

Cell: 3.062 5.263 5.322 Å, 90.00 92.21 90.00°
Sites, in units of the cell vectors:
Li: 0.000 0.000 0.000
Cd: 0.267 0.500 0.757
Cd: 0.733 0.500 0.243
Hg: 0.500 0.000 0.500



(19)
Compound: Li3Cd4Hg2
Source: the Alexandria database
Functional: PBE
Structure: optimized geometry

Calculated values
The excess energy over the best structure of this formula in the dataset is 8.3 kJ/mol of formula units. Its symmetry is No. 12. The value obtained for the uncorrected energy is -1.31 eV per atom.

Cell: 5.454 5.454 8.972 Å, 117.55 117.55 54.09°
Sites, in units of the cell vectors:
Li: 0.000 0.000 0.000
Li: 0.329 0.329 0.344
Li: 0.671 0.671 0.656
Cd: 0.004 0.004 0.339
Cd: 0.326 0.326 0.999
Cd: 0.674 0.674 0.001
Cd: 0.996 0.996 0.661
Hg: 0.342 0.342 0.679
Hg: 0.658 0.658 0.321



(20)
Compound: Li2CdHg
Source: the Alexandria database
Functional: PBE
Structure: optimized geometry

Calculated values
The excess energy over the best structure of this formula in the dataset is 12.5 kJ/mol of formula units. Its symmetry is No. 216. The value obtained for the uncorrected energy is -1.55 eV per atom.

Cell: 4.753 4.753 4.753 Å, 60.00 60.00 60.00°
Sites, in units of the cell vectors:
Li: 0.000 0.000 0.000
Li: 0.250 0.250 0.250
Cd: 0.750 0.750 0.750
Hg: 0.500 0.500 0.500



(21)
Compound: LiCdHg
Source: the Alexandria database
Functional: PBE
Structure: optimized geometry

Calculated values
The excess energy over the best structure of this formula in the dataset is 8.0 kJ/mol of formula units. Its symmetry is No. 107. The value obtained for the uncorrected energy is -1.26 eV per atom.

Cell: 6.464 6.464 6.464 Å, 151.63 151.63 40.55°
Sites, in units of the cell vectors:
Li: 0.000 0.000 0.000
Cd: 0.338 0.338 0.000
Hg: 0.647 0.647 0.000



(22)
Compound: LiCd6Hg7
Source: the Alexandria database
Functional: PBE
Structure: optimized geometry

Calculated values
Its symmetry is No. 72. The value obtained for the uncorrected energy is -0.70 eV per atom.

Cell: 10.826 10.826 10.826 Å, 146.21 93.25 96.44°
Sites, in units of the cell vectors:
Li: 0.250 0.250 0.000
Li: 0.750 0.750 0.000
Cd: 0.003 0.901 0.556
Cd: 0.155 0.599 0.102
Cd: 0.230 0.510 0.740
Cd: 0.270 0.010 0.281
Cd: 0.345 0.447 0.444
Cd: 0.497 0.053 0.898
Cd: 0.503 0.947 0.102
Cd: 0.655 0.553 0.556
Cd: 0.730 0.990 0.719
Cd: 0.770 0.490 0.260
Cd: 0.845 0.401 0.898
Cd: 0.997 0.099 0.444
Hg: 0.003 0.314 0.068
Hg: 0.044 0.262 0.306
Hg: 0.246 0.935 0.932
Hg: 0.250 0.750 0.500
Hg: 0.254 0.186 0.690
Hg: 0.456 0.762 0.219
Hg: 0.497 0.565 0.310
Hg: 0.503 0.435 0.690
Hg: 0.544 0.238 0.781
Hg: 0.746 0.814 0.310
Hg: 0.750 0.250 0.500
Hg: 0.754 0.065 0.068
Hg: 0.956 0.738 0.694
Hg: 0.997 0.686 0.932